(1)
# PBE TaBeIr2, optimized geometry
# M_tot, Bohr magnetons per cell: 0.00
data_TaBeIr2
_cell_length_a 4.893
_cell_length_b 4.893
_cell_length_c 4.893
_cell_angle_alpha 135.40
_cell_angle_beta 135.40
_cell_angle_gamma 64.92
_symmetry_space_group_name_H-M 'P 1'
_symmetry_Int_Tables_number 1
_symmetry_space_group_name_Hall 'P 1'
loop_
_atom_site_label
_atom_site_fract_x
_atom_site_fract_y
_atom_site_fract_z
Be1 0.750 0.250 0.500
Ir1 0.000 0.000 0.000
Ir2 0.250 0.750 0.500
Ta1 0.500 0.500 0.000

=====

(2)
# PBE Ta3Be2Ir5, optimized geometry
# M_tot, Bohr magnetons per cell: 0.00
data_Ta3Be2Ir5
_cell_length_a 3.502
_cell_length_b 9.058
_cell_length_c 9.058
_cell_angle_alpha 90.00
_cell_angle_beta 90.00
_cell_angle_gamma 90.00
_symmetry_space_group_name_H-M 'P 1'
_symmetry_Int_Tables_number 1
_symmetry_space_group_name_Hall 'P 1'
loop_
_atom_site_label
_atom_site_fract_x
_atom_site_fract_y
_atom_site_fract_z
Ta1 0.000 0.324 0.824
Ta2 0.000 0.676 0.176
Ta3 0.000 0.176 0.324
Ta4 0.000 0.824 0.676
Ta5 0.000 0.000 0.000
Ta6 0.000 0.500 0.500
Be1 0.000 0.118 0.618
Be2 0.000 0.882 0.382
Be3 0.000 0.382 0.118
Be4 0.000 0.618 0.882
Ir1 0.500 0.211 0.075
Ir2 0.500 0.789 0.925
Ir3 0.500 0.925 0.211
Ir4 0.500 0.075 0.789
Ir5 0.500 0.289 0.575
Ir6 0.500 0.711 0.425
Ir7 0.500 0.575 0.711
Ir8 0.500 0.425 0.289
Ir9 0.500 0.000 0.500
Ir10 0.500 0.500 0.000

=====

Ordered V results: 14.24 14.37; unit Å³ per atom.
Ordered VASP energy results: -0.642 -0.687; unit Ry/atom.
Ordered energy of formation results: -0.4074 -0.6109; unit eV/atom.